1.
4
Lattice="4.094 0.000 0.000 2.047 3.545 0.000 2.047 1.182 3.343" Properties=species:S:1:pos:R:3 comment="Cr2CoAs, optimized geometry, DFT PBE-GGA" dos_at_fermi_per_ev_atom=0.58 ef_mev_per_atom=34.0 spacegroup="F-43m (216)" pbc="T T T"
As 4.094 2.364 1.671
Cr 0.000 0.000 0.000
Co 6.141 3.545 2.507
Cr 2.047 1.182 0.836

2.
4
Lattice="-1.950 -2.248 3.399 3.034 -2.761 1.893 0.155 4.405 -0.990" Properties=species:S:1:pos:R:3 comment="Mn2CuRe, optimized geometry, DFT PBE-GGA" dos_at_fermi_per_ev_atom=0.86 ef_mev_per_atom=205.0 de_polymorph_ev_per_atom=0.073 spacegroup="I-4m2 (119)" pbc="T T T"
Mn 1.865 -0.430 1.775
Re 0.542 -2.504 2.646
Mn 0.000 0.000 0.000
Cu -0.627 -0.173 2.528

3.
8
Lattice="8.444 0.000 0.000 0.000 8.444 0.000 4.222 4.222 3.509" Properties=species:S:1:pos:R:3 comment="LaZrBi2, optimized geometry, DFT PBE-GGA" dos_at_fermi_per_ev_atom=1.13 ef_mev_per_atom=-362.0 de_polymorph_ev_per_atom=0.085 spacegroup="I-42d (122)" pbc="T T T"
Bi 6.119 2.111 0.877
Bi 2.325 6.333 0.877
Zr 4.222 4.222 0.000
La 0.000 0.000 0.000
Zr 4.222 8.444 1.754
Bi 10.554 10.340 2.631
La 8.444 4.222 1.754
Bi 6.333 6.547 2.631

4.
8
Lattice="-3.037 0.702 -4.436 -1.968 -5.022 0.553 -1.508 4.067 4.990" Properties=species:S:1:pos:R:3 comment="Sc3PaP4, optimized geometry, DFT PBE-GGA" dos_at_fermi_per_ev_atom=0.31 ef_mev_per_atom=-1441.3 de_polymorph_ev_per_atom=0.006 spacegroup="I4/mmm (139)" pbc="T T T"
P -4.995 -0.604 3.324
Sc -2.503 -2.160 -1.942
Sc -2.989 -1.557 1.800
Sc -3.524 1.305 -0.694
P -4.488 -1.216 -0.433
P -5.529 2.258 0.830
Pa 0.000 0.000 0.000
P -2.026 0.963 1.539

5.
5
Lattice="-0.002 -4.906 -0.036 3.793 -0.028 3.589 -3.372 -0.025 3.563" Properties=species:S:1:pos:R:3 comment="NaCoAsAu2, optimized geometry, DFT PBE-GGA" dos_at_fermi_per_ev_atom=1.01 ef_mev_per_atom=769.8 spacegroup="P4/mmm (123)" pbc="T T T"
Na 1.896 -0.014 1.794
Au -0.001 -2.453 -0.018
Au -1.686 -0.012 1.782
Co 0.209 -2.479 3.558
As 0.000 0.000 0.000

6.
10
Lattice="-3.684 0.627 -1.160 -0.170 -2.577 5.748 0.190 6.614 2.971" Properties=species:S:1:pos:R:3 comment="SrScAsH2, optimized geometry, DFT PBE-GGA" dos_at_fermi_per_ev_atom=0.03 energy_ev_per_atom=-4.8045 spacegroup="Cmcm (63)" pbc="T T T"
Sc 0.000 0.000 0.000
Sr -2.623 4.236 4.018
As -1.983 1.755 0.646
H -3.097 1.732 4.172
H -0.568 2.932 3.388
H -3.170 -0.810 3.030
As -1.682 2.908 6.914
Sc 0.095 3.307 1.486
Sr -1.043 0.427 3.542
H -0.495 5.474 4.530

7.
4
Lattice="4.685 0.004 0.000 -1.980 4.246 0.000 0.000 0.000 2.697" Properties=species:S:1:pos:R:3 comment="BeOs2Rh, optimized geometry, DFT PBE-GGA" dos_at_fermi_per_ev_atom=1.00 ef_mev_per_atom=243.7 spacegroup="Cmmm (65)" pbc="T T T"
Rh 2.343 0.002 1.348
Os 1.352 2.125 0.000
Be -0.990 2.123 1.348
Os 0.000 0.000 0.000

8.
10
Lattice="3.724 0.000 -0.500 0.000 5.377 0.000 -0.009 0.000 14.099" Properties=species:S:1:pos:R:3 comment="TbHo2Tl2, optimized geometry, DFT PBE-GGA" dos_at_fermi_per_ev_atom=1.01 ef_mev_per_atom=-277.0 spacegroup="P2_1/m (11)" pbc="T T T"
Ho 3.531 1.344 12.231
Ho 0.184 4.033 1.368
Tl 1.319 1.344 9.836
Tb 0.550 1.344 4.140
Ho 0.882 4.033 6.586
Tl 2.396 4.033 3.763
Tb 3.165 4.033 9.459
Ho 2.833 1.344 7.013
Tl 2.044 1.344 1.092
Tl 1.671 4.033 12.507

9.
4
Lattice="-3.180 -2.040 5.965 3.368 -4.469 4.306 1.375 6.032 -3.403" Properties=species:S:1:pos:R:3 comment="KSr2Au, optimized geometry, DFT PBE-GGA" dos_at_fermi_per_ev_atom=0.74 ef_mev_per_atom=-35.9 de_polymorph_ev_per_atom=0.352 spacegroup="I-4m2 (119)" pbc="T T T"
Au 0.094 -3.254 5.136
Sr 2.419 -0.845 3.020
Sr 0.000 0.000 0.000
K -0.855 0.369 3.849

10.
5
Lattice="-0.536 -4.573 0.247 1.640 -0.424 -4.289 5.589 -2.983 -0.047" Properties=species:S:1:pos:R:3 comment="Sc2GeAu2, optimized geometry, DFT PBE-GGA" dos_at_fermi_per_ev_atom=0.58 ef_mev_per_atom=-281.6 de_polymorph_ev_per_atom=0.360 spacegroup="I4/mmm (139)" pbc="T T T"
Sc 2.803 -5.027 -0.910
Au 4.929 -5.365 -2.543
Sc 3.891 -2.953 -3.178
Au 1.764 -2.615 -1.546
Ge 0.000 0.000 0.000

11.
20
Lattice="-1.666 9.230 -11.936 4.908 -0.332 -9.091 -0.501 -10.322 0.238" Properties=species:S:1:pos:R:3 comment="RbFeBr3, optimized geometry, DFT PBE-GGA" raw_formation_energy_ev_per_atom=-0.944 dos_at_fermi_per_ev_atom=0.11 spacegroup="C2/c (15)" pbc="T T T"
Br -0.559 7.124 -11.186
Br 1.870 0.219 -16.658
Br 1.127 -0.691 -12.877
Fe 3.875 -7.081 -11.423
Br -0.895 -3.814 -6.904
Rb -0.845 0.179 -10.148
Br 1.615 -0.733 -7.912
Br 2.969 -4.224 -6.258
Rb 1.207 -7.383 -6.629
Br 0.872 -1.643 -4.131
Rb 3.587 -1.603 -10.641
Rb 1.535 5.959 -14.160
Br 3.636 2.390 -13.885
Br -0.228 2.801 -14.531
Fe 1.575 1.081 -14.444
Br -0.173 3.485 -9.672
Fe 1.167 -2.504 -6.345
Br 3.301 -8.548 -9.603
Fe -1.133 5.657 -9.366
Br 2.915 -4.909 -11.117

12.
4
Lattice="3.049 0.007 0.000 -0.008 3.049 0.000 0.000 0.000 8.851" Properties=species:S:1:pos:R:3 comment="BaAgRu2, optimized geometry, DFT PBE-GGA" dos_at_fermi_per_ev_atom=0.88 ef_mev_per_atom=1040.7 de_polymorph_ev_per_atom=0.742 spacegroup="P4/mmm (123)" pbc="T T T"
Ag 1.521 1.528 2.213
Ru 0.000 0.000 0.363
Ru 0.000 0.000 4.063
Ba 1.521 1.528 6.638

| no. | size of the total moment (μB/cell) |
| --- | --- |
| 1 | 2.0 |
| 2 | 1.4 |
| 3 | 0.0 |
| 4 | 0.0 |
| 5 | 2.6 |
| 6 | 0.0 |
| 7 | 0.0 |
| 8 | 0.0 |
| 9 | 0.0 |
| 10 | 0.0 |
| 11 | 16.0 |
| 12 | 3.0 |